# PBE KNa3Tl3, relaxed
data_KNa3Tl3
_chemical_formula_sum 'K2 Na6 Tl6'
_symmetry_space_group_name_H-M 'P 1'
_symmetry_Int_Tables_number 1
_symmetry_space_group_name_Hall 'P 1'
_cell_length_a 8.126
_cell_length_b 8.126
_cell_length_c 8.126
_cell_angle_alpha 70.03
_cell_angle_beta 70.03
_cell_angle_gamma 70.03
loop_
_atom_site_label
_atom_site_type_symbol
_atom_site_fract_x
_atom_site_fract_y
_atom_site_fract_z
K1 K 0.243 0.243 0.243
K2 K 0.757 0.757 0.757
Na1 Na 0.176 0.453 0.641
Na2 Na 0.359 0.824 0.547
Na3 Na 0.453 0.641 0.176
Na4 Na 0.547 0.359 0.824
Na5 Na 0.641 0.176 0.453
Na6 Na 0.824 0.547 0.359
Tl1 Tl 0.045 0.881 0.303
Tl2 Tl 0.119 0.697 0.955
Tl3 Tl 0.303 0.045 0.881
Tl4 Tl 0.697 0.955 0.119
Tl5 Tl 0.881 0.303 0.045
Tl6 Tl 0.955 0.119 0.697
# E above lowest polymorph: 0 meV/atom
# E: -1.795 eV per atom
# symmetry: No. 148
# ΔH_f (0 K): -0.058 eV/atom

***

# PBE K6Na4Tl13, relaxed
data_K6Na4Tl13
_chemical_formula_sum 'K6 Na4 Tl13'
_symmetry_space_group_name_H-M 'P 1'
_symmetry_Int_Tables_number 1
_symmetry_space_group_name_Hall 'P 1'
_cell_length_a 10.131
_cell_length_b 10.131
_cell_length_c 10.131
_cell_angle_alpha 109.47
_cell_angle_beta 109.47
_cell_angle_gamma 109.47
loop_
_atom_site_label
_atom_site_type_symbol
_atom_site_fract_x
_atom_site_fract_y
_atom_site_fract_z
K1 K 0.172 0.500 0.672
K2 K 0.328 0.828 0.500
K3 K 0.500 0.328 0.828
K4 K 0.500 0.672 0.172
K5 K 0.672 0.172 0.500
K6 K 0.828 0.500 0.328
Na1 Na 0.000 0.000 0.500
Na2 Na 0.000 0.500 0.000
Na3 Na 0.500 0.000 0.000
Na4 Na 0.500 0.500 0.500
Tl1 Tl 0.000 0.000 0.000
Tl2 Tl 0.101 0.244 0.857
Tl3 Tl 0.143 0.387 0.244
Tl4 Tl 0.143 0.899 0.756
Tl5 Tl 0.244 0.143 0.387
Tl6 Tl 0.244 0.857 0.101
Tl7 Tl 0.387 0.244 0.143
Tl8 Tl 0.613 0.756 0.857
Tl9 Tl 0.756 0.143 0.899
Tl10 Tl 0.756 0.857 0.613
Tl11 Tl 0.857 0.101 0.244
Tl12 Tl 0.857 0.613 0.756
Tl13 Tl 0.899 0.756 0.143
# E: -1.982 eV per atom
# symmetry: No. 204
# ΔH_f (0 K): -0.129 eV/atom

***

# PBE K5Na5Tl2, relaxed
data_K5Na5Tl2
_chemical_formula_sum 'K5 Na5 Tl2'
_symmetry_space_group_name_H-M 'P 1'
_symmetry_Int_Tables_number 1
_symmetry_space_group_name_Hall 'P 1'
_cell_length_a 9.467
_cell_length_b 9.467
_cell_length_c 14.611
_cell_angle_alpha 110.74
_cell_angle_beta 110.74
_cell_angle_gamma 27.85
loop_
_atom_site_label
_atom_site_type_symbol
_atom_site_fract_x
_atom_site_fract_y
_atom_site_fract_z
K1 K 0.000 0.000 0.000
K2 K 0.349 0.349 0.549
K3 K 0.421 0.421 0.227
K4 K 0.579 0.579 0.773
K5 K 0.651 0.651 0.451
Na1 Na 0.000 0.000 0.500
Na2 Na 0.181 0.181 0.245
Na3 Na 0.272 0.272 0.913
Na4 Na 0.728 0.728 0.087
Na5 Na 0.819 0.819 0.755
Tl1 Tl 0.184 0.184 0.665
Tl2 Tl 0.816 0.816 0.335
# E: -1.406 eV per atom
# symmetry: No. 12
# ΔH_f (0 K): -0.005 eV/atom

***

Number 1: density of states at the Fermi level 0.68 states/eV per atom, size of the total moment 0.00 μB/cell, theoretical density 5.225 g/cm3. Number 2: density of states at the Fermi level 0.71 states/eV per atom, size of the total moment 0.00 μB/cell, theoretical density 6.189 g/cm3. Number 3: density of states at the Fermi level 0.63 states/eV per atom, size of the total moment 0.00 μB/cell, theoretical density 2.097 g/cm3.